VASP calculation (PBE with a Hubbard U) on a geometry-optimized BaMn2CdF8 structure.

Output
ρ ... 4.26 Mg/m³
Spin magnetization ... 10.00 μB per cell
Uncorrected energy ... -5.52 eV/atom

a = 5.168 Å, b = 5.372 Å, c = 7.183 Å
α = 90.00°, β = 89.99°, γ = 88.50°
Positions (direct):
F: 0.197 0.765 0.779
F: 0.323 0.299 0.000
F: 0.803 0.235 0.779
F: 0.634 0.690 0.500
F: 0.677 0.701 0.000
F: 0.803 0.235 0.221
F: 0.366 0.310 0.500
F: 0.197 0.765 0.221
Cd: 0.000 0.000 0.000
Mn: 0.500 0.500 0.237
Mn: 0.500 0.500 0.763
Ba: 0.000 0.000 0.500